! Mg14NiC, relaxed, DFT PBE-GGA; values from VASP
! **E above lowest polymorph**: 130 meV/atom
! **Crystal system**: hexagonal
! **Calculated formation energy**: 0.27 eV per atom
! **Size of the total moment**: 0.0 μB per cell
&SYSTEM
  ibrav = 0, nat = 16, ntyp = 3
/
ATOMIC_SPECIES
Mg 24.30 Mg.upf
Ni 58.69 Ni.upf
C 12.01 C.upf
CELL_PARAMETERS angstrom
6.204 0.000 0.000
-3.102 5.373 0.000
0.000 0.000 9.549
ATOMIC_POSITIONS crystal
Mg 0.000 0.000 0.249
Mg 0.000 0.000 0.751
Mg 0.021 0.510 0.255
Mg 0.021 0.510 0.745
Mg 0.331 0.166 0.500
Mg 0.336 0.168 0.000
Mg 0.490 0.510 0.255
Mg 0.490 0.510 0.745
Mg 0.490 0.979 0.255
Mg 0.490 0.979 0.745
Mg 0.832 0.168 0.000
Mg 0.832 0.664 0.000
Mg 0.834 0.166 0.500
Mg 0.834 0.669 0.500
Ni 0.333 0.667 0.000
C 0.333 0.667 0.500


! Y4NiSe, relaxed, DFT PBE-GGA; values from VASP
! **Crystal system**: cubic
! **Raw formation energy**: 0.536 eV per atom
! **Size of the total moment**: 0.0 μB per cell
&SYSTEM
  ibrav = 0, nat = 6, ntyp = 3
/
ATOMIC_SPECIES
Y 88.91 Y.upf
Ni 58.69 Ni.upf
Se 78.96 Se.upf
CELL_PARAMETERS angstrom
0.000 4.366 4.366
4.366 0.000 4.366
4.366 4.366 0.000
ATOMIC_POSITIONS crystal
Y 0.124 0.124 0.124
Y 0.124 0.124 0.627
Y 0.124 0.627 0.124
Y 0.627 0.124 0.124
Ni 0.750 0.750 0.750
Se 0.500 0.500 0.500


! Y7In2Ni2, relaxed, DFT PBE-GGA; values from VASP
! **Crystal system**: orthorhombic
! **Calculated formation energy**: -0.23 eV per atom
! **Size of the total moment**: 0.0 μB per cell
&SYSTEM
  ibrav = 0, nat = 11, ntyp = 3
/
ATOMIC_SPECIES
Y 88.91 Y.upf
In 114.82 In.upf
Ni 58.69 Ni.upf
CELL_PARAMETERS angstrom
3.982 -5.584 0.000
3.982 5.584 0.000
0.000 0.000 6.963
ATOMIC_POSITIONS crystal
Y 0.000 0.000 0.000
Y 0.000 0.500 0.246
Y 0.000 0.500 0.754
Y 0.500 0.000 0.246
Y 0.500 0.000 0.754
Y 0.500 0.500 0.237
Y 0.500 0.500 0.763
In 0.176 0.176 0.500
In 0.824 0.824 0.500
Ni 0.294 0.706 0.000
Ni 0.706 0.294 0.000


! Mg8Ag5Pd, relaxed, DFT PBE-GGA; values from VASP
! **Crystal system**: tetragonal
! **Calculated formation energy**: -0.18 eV per atom
! **Size of the total moment**: 0.0 μB per cell
&SYSTEM
  ibrav = 0, nat = 14, ntyp = 3
/
ATOMIC_SPECIES
Mg 24.30 Mg.upf
Ag 107.87 Ag.upf
Pd 106.42 Pd.upf
CELL_PARAMETERS angstrom
-4.064 4.064 4.204
4.064 -4.064 4.204
4.064 4.064 -4.204
ATOMIC_POSITIONS crystal
Mg 0.171 0.430 0.093
Mg 0.338 0.079 0.907
Mg 0.403 0.151 0.388
Mg 0.570 0.662 0.741
Mg 0.763 0.015 0.612
Mg 0.849 0.237 0.253
Mg 0.921 0.829 0.259
Mg 0.985 0.597 0.747
Ag 0.199 0.306 0.672
Ag 0.250 0.750 0.500
Ag 0.473 0.801 0.108
Ag 0.634 0.527 0.328
Ag 0.694 0.366 0.892
Pd 0.000 0.000 0.000


! MnTlGeSe3, relaxed, DFT PBE-GGA; values from VASP
! **Crystal system**: monoclinic
! **Raw formation energy**: -0.369 eV per atom
! **Size of the total moment**: 8.0 μB per cell
&SYSTEM
  ibrav = 0, nat = 12, ntyp = 4
/
ATOMIC_SPECIES
Mn 54.94 Mn.upf
Tl 204.38 Tl.upf
Ge 72.64 Ge.upf
Se 78.96 Se.upf
CELL_PARAMETERS angstrom
8.356 0.000 0.000
0.000 3.788 0.000
-3.025 0.000 9.757
ATOMIC_POSITIONS crystal
Mn 0.136 0.250 0.153
Mn 0.864 0.750 0.847
Tl 0.282 0.750 0.740
Tl 0.718 0.250 0.260
Ge 0.367 0.750 0.439
Ge 0.633 0.250 0.561
Se 0.089 0.250 0.896
Se 0.150 0.250 0.410
Se 0.365 0.750 0.195
Se 0.635 0.250 0.805
Se 0.850 0.750 0.590
Se 0.911 0.750 0.104


! ZrCdIn, relaxed, DFT PBE-GGA; values from VASP
! **Crystal system**: cubic
! **Calculated formation energy**: 0.19 eV per atom
! **Size of the total moment**: 0.0 μB per cell
&SYSTEM
  ibrav = 0, nat = 3, ntyp = 3
/
ATOMIC_SPECIES
Zr 91.22 Zr.upf
Cd 112.41 Cd.upf
In 114.82 In.upf
CELL_PARAMETERS angstrom
0.000 3.360 3.360
3.360 0.000 3.360
3.360 3.360 0.000
ATOMIC_POSITIONS crystal
Zr 0.000 0.000 0.000
Cd 0.500 0.500 0.500
In 0.250 0.250 0.250


! Mg2ZrPd3, relaxed, DFT PBE-GGA; values from VASP
! **Crystal system**: trigonal
! **Calculated formation energy**: -0.70 eV per atom
! **Size of the total moment**: 0.0 μB per cell
&SYSTEM
  ibrav = 0, nat = 12, ntyp = 3
/
ATOMIC_SPECIES
Mg 24.30 Mg.upf
Zr 91.22 Zr.upf
Pd 106.42 Pd.upf
CELL_PARAMETERS angstrom
4.619 0.000 0.000
-2.309 4.000 0.000
0.000 0.000 11.200
ATOMIC_POSITIONS crystal
Mg 0.000 0.000 0.000
Mg 0.000 0.000 0.500
Mg 0.333 0.667 0.161
Mg 0.667 0.333 0.839
Zr 0.333 0.667 0.670
Zr 0.667 0.333 0.330
Pd 0.000 0.000 0.247
Pd 0.000 0.000 0.753
Pd 0.333 0.667 0.415
Pd 0.333 0.667 0.916
Pd 0.667 0.333 0.084
Pd 0.667 0.333 0.585


! LaPm2Y, relaxed, DFT PBE-GGA; values from VASP
! **E above lowest polymorph**: 17 meV/atom
! **Crystal system**: tetragonal
! **Calculated formation energy**: 0.03 eV per atom
! **Size of the total moment**: 0.0 μB per cell
&SYSTEM
  ibrav = 0, nat = 4, ntyp = 3
/
ATOMIC_SPECIES
La 138.91 La.upf
Pm 145.00 Pm.upf
Y 88.91 Y.upf
CELL_PARAMETERS angstrom
-2.584 2.584 5.189
2.584 -2.584 5.189
2.584 2.584 -5.189
ATOMIC_POSITIONS crystal
La 0.000 0.000 0.000
Pm 0.250 0.750 0.500
Pm 0.750 0.250 0.500
Y 0.500 0.500 0.000


! PuSb3Au8, relaxed, DFT PBE-GGA; values from VASP
! **E above lowest polymorph**: 38 meV/atom
! **Crystal system**: trigonal
! **Raw formation energy**: -0.079 eV per atom
! **Size of the total moment**: 5.5 μB per cell
&SYSTEM
  ibrav = 0, nat = 12, ntyp = 3
/
ATOMIC_SPECIES
Pu 244.00 Pu.upf
Sb 121.76 Sb.upf
Au 196.97 Au.upf
CELL_PARAMETERS angstrom
5.614 0.000 0.000
-2.807 4.862 0.000
0.000 0.000 9.483
ATOMIC_POSITIONS crystal
Pu 0.000 0.000 0.000
Sb 0.000 0.000 0.384
Sb 0.667 0.333 0.486
Sb 0.667 0.333 0.917
Au 0.164 0.329 0.701
Au 0.164 0.836 0.701
Au 0.333 0.667 0.452
Au 0.333 0.667 0.951
Au 0.501 0.003 0.200
Au 0.501 0.499 0.200
Au 0.671 0.836 0.701
Au 0.997 0.499 0.200


! SrAl2Ni, relaxed, DFT PBE-GGA; values from VASP
! **Crystal system**: tetragonal
! **Calculated formation energy**: 0.14 eV per atom
! **Size of the total moment**: 0.0 μB per cell
&SYSTEM
  ibrav = 0, nat = 4, ntyp = 3
/
ATOMIC_SPECIES
Sr 87.62 Sr.upf
Al 26.98 Al.upf
Ni 58.69 Ni.upf
CELL_PARAMETERS angstrom
4.110 0.000 0.000
0.000 4.110 0.000
0.000 0.000 4.835
ATOMIC_POSITIONS crystal
Sr 0.000 0.000 0.000
Al 0.000 0.500 0.500
Al 0.500 0.000 0.500
Ni 0.500 0.500 0.000


! Li4MnGe2S7, relaxed, DFT PBE-GGA; values from VASP
! **Crystal system**: monoclinic
! **Raw formation energy**: -0.866 eV per atom
! **Size of the total moment**: 10.0 μB per cell
&SYSTEM
  ibrav = 0, nat = 28, ntyp = 4
/
ATOMIC_SPECIES
Li 6.94 Li.upf
Mn 54.94 Mn.upf
Ge 72.64 Ge.upf
S 32.06 S.upf
CELL_PARAMETERS angstrom
8.542 -3.369 0.000
8.542 3.369 0.000
-0.808 0.000 10.184
ATOMIC_POSITIONS crystal
Li 0.115 0.444 0.426
Li 0.147 0.853 0.500
Li 0.394 0.740 0.847
Li 0.444 0.115 0.926
Li 0.524 0.892 0.566
Li 0.740 0.394 0.347
Li 0.853 0.147 0.000
Li 0.892 0.524 0.066
Mn 0.250 0.603 0.147
Mn 0.603 0.250 0.647
Ge 0.024 0.677 0.786
Ge 0.304 0.971 0.226
Ge 0.677 0.024 0.286
Ge 0.971 0.304 0.726
S 0.025 0.745 0.333
S 0.028 0.316 0.259
S 0.147 0.499 0.971
S 0.233 0.849 0.062
S 0.275 0.620 0.692
S 0.316 0.028 0.759
S 0.435 0.770 0.397
S 0.499 0.147 0.471
S 0.571 0.913 0.136
S 0.620 0.275 0.192
S 0.745 0.025 0.833
S 0.770 0.435 0.897
S 0.849 0.233 0.562
S 0.913 0.571 0.636


! SrWCl3, relaxed, DFT PBE-GGA; values from VASP
! **E above lowest polymorph**: 309 meV/atom
! **Crystal system**: cubic
! **Raw formation energy**: -0.072 eV per atom
! **Size of the total moment**: 5.0 μB per cell
&SYSTEM
  ibrav = 0, nat = 5, ntyp = 3
/
ATOMIC_SPECIES
Sr 87.62 Sr.upf
W 183.84 W.upf
Cl 35.45 Cl.upf
CELL_PARAMETERS angstrom
5.601 0.000 0.000
0.000 5.601 0.000
0.000 0.000 5.601
ATOMIC_POSITIONS crystal
Sr 0.000 0.000 0.000
W 0.500 0.500 0.500
Cl 0.000 0.000 0.500
Cl 0.000 0.500 0.000
Cl 0.500 0.000 0.000


no.,calculated total energy (eV for the cell shown)
1,-33.0
2,-31.9
3,-64.9
4,-34.8
5,-57.6
6,-11.6
7,-63.0
8,-20.8
9,-53.9
10,-14.4
11,-134.1
12,-20.5